(1)
Zr3ScAl, optimized geometry, DFT PBE; total magnetization = 0.000 μB/cell
1.0
-3.264 1.298 -3.667
2.958 -2.281 -3.440
-2.527 -4.347 0.710
Sc Al Zr
1 1 3
direct
0.500 0.500 0.500
0.000 0.000 0.000
0.500 0.000 0.000
0.000 0.500 0.000
0.000 0.000 0.500

(2)
Zr5Sc12Al3, optimized geometry, DFT PBE; total magnetization = 31.026 μB/cell
1.0
14.451 0.000 0.000
-4.817 13.624 0.000
-4.817 -6.812 11.799
Al Sc Zr
12 48 20
direct
0.625 0.375 0.750
0.625 0.250 0.375
0.375 0.625 0.250
0.875 0.750 0.125
0.250 0.125 0.375
0.125 0.250 0.875
0.750 0.375 0.125
0.375 0.750 0.625
0.125 0.875 0.750
0.250 0.625 0.875
0.875 0.125 0.250
0.750 0.875 0.625
0.418 0.272 0.344
0.574 0.647 0.418
0.074 0.156 0.428
0.772 0.344 0.918
0.928 0.353 0.272
0.728 0.582 0.156
0.344 0.572 0.426
0.156 0.082 0.728
0.072 0.647 0.728
0.772 0.428 0.353
0.647 0.574 0.918
0.156 0.074 0.928
0.656 0.228 0.582
0.082 0.156 0.228
0.572 0.228 0.147
0.844 0.918 0.272
0.147 0.418 0.074
0.228 0.656 0.082
0.072 0.426 0.844
0.647 0.072 0.228
0.082 0.926 0.353
0.418 0.147 0.574
0.918 0.074 0.647
0.918 0.844 0.772
0.353 0.426 0.082
0.272 0.418 0.844
0.147 0.728 0.572
0.574 0.928 0.656
0.928 0.574 0.156
0.582 0.853 0.426
0.428 0.772 0.853
0.853 0.582 0.926
0.426 0.353 0.582
0.926 0.844 0.572
0.728 0.147 0.072
0.074 0.918 0.147
0.353 0.928 0.772
0.844 0.926 0.072
0.572 0.344 0.926
0.926 0.082 0.853
0.228 0.572 0.647
0.272 0.853 0.928
0.428 0.656 0.074
0.344 0.772 0.418
0.582 0.728 0.656
0.426 0.072 0.344
0.656 0.428 0.574
0.853 0.272 0.428
0.250 0.375 0.625
0.375 0.125 0.750
0.500 0.500 0.500
0.125 0.375 0.250
0.000 0.000 0.500
0.625 0.750 0.875
0.500 0.500 0.000
0.500 0.000 0.500
0.875 0.250 0.625
0.000 0.500 0.000
0.750 0.625 0.375
0.375 0.250 0.125
0.125 0.750 0.375
0.000 0.000 0.000
0.000 0.500 0.500
0.250 0.875 0.125
0.500 0.000 0.000
0.625 0.875 0.250
0.750 0.125 0.875
0.875 0.625 0.750

(3)
Zr12ScAl3, optimized geometry, DFT PBE; total magnetization = 0.000 μB/cell
1.0
4.424 0.000 0.000
0.000 4.424 0.000
0.000 0.000 17.695
Zr Al Sc
12 3 1
direct
0.000 0.500 0.869
0.500 0.500 0.000
0.500 0.500 0.255
0.500 0.000 0.131
0.500 0.000 0.377
0.000 0.500 0.623
0.000 0.500 0.377
0.500 0.000 0.623
0.500 0.500 0.745
0.500 0.000 0.869
0.500 0.500 0.500
0.000 0.500 0.131
0.000 0.000 0.746
0.000 0.000 0.500
0.000 0.000 0.254
0.000 0.000 0.000

(4)
Zr3ScAl, optimized geometry, DFT PBE; total magnetization = 0.000 μB/cell
1.0
4.988 0.000 0.000
0.000 4.988 0.000
0.000 0.000 4.988
Sc Zr Al
1 3 1
direct
0.000 0.000 0.000
0.500 0.000 0.000
0.000 0.000 0.500
0.000 0.500 0.000
0.500 0.500 0.500

(5)
ZrSc5Al6, optimized geometry, DFT PBE; total magnetization = 0.000 μB/cell
1.0
-2.907 -2.152 3.144
3.495 -5.977 -4.513
4.724 5.241 4.304
Al Sc Zr
6 5 1
direct
0.747 0.580 0.914
0.253 0.420 0.086
0.747 0.914 0.580
0.246 0.746 0.746
0.754 0.254 0.254
0.253 0.086 0.420
0.500 0.500 0.500
0.500 0.836 0.164
0.000 0.331 0.669
0.000 0.669 0.331
0.500 0.164 0.836
0.000 0.000 0.000

(6)
ZrSc7Al4, optimized geometry, DFT PBE; total magnetization = 0.001 μB/cell
1.0
-5.101 1.020 2.872
-1.799 -6.784 -2.864
-2.577 -2.699 6.694
Sc Zr Al
7 1 4
direct
0.772 0.037 0.480
0.992 0.349 0.658
0.725 0.341 0.184
0.228 0.963 0.520
0.500 0.000 0.000
0.008 0.651 0.342
0.275 0.659 0.816
0.000 0.000 0.000
0.282 0.343 0.116
0.534 0.675 0.318
0.718 0.657 0.884
0.466 0.325 0.682

no.,ΔH_f (0 K) (eV/atom)
1,0.56
2,0.99
3,-0.21
4,1.06
5,-0.43
6,-0.24